CaTiFeS2: relaxed, GGA-PBEsol.

POSCAR file:
```
CaTiFeS2
1.0
-3.801 1.048 1.916
-0.977 -4.391 0.464
2.030 -0.025 4.041
Ca Fe S Ti
1 1 2 1
Direct
0.500 0.000 0.000
0.000 0.000 0.000
0.000 0.500 0.000
0.000 0.000 0.500
0.500 0.500 0.500
```

Results
E = -27.2 eV per cell
energy relative to the elements, uncorrected = 0.2005 eV per atom

***

CaFeSb2: relaxed, GGA-PBEsol.

POSCAR file:
```
CaFeSb2
1.0
-2.046 -1.526 -2.501
0.057 -3.068 1.825
-5.790 1.989 3.524
Sb Fe Ca
2 1 1
Direct
0.000 0.000 0.937
0.500 0.500 0.222
0.500 0.500 0.839
0.000 0.000 0.502
```

Results
E = -20.4 eV per cell
energy relative to the elements, uncorrected = -0.0525 eV per atom

***

CaFe4Sb12: relaxed, GGA-PBEsol.

POSCAR file:
```
CaFe4Sb12
1.0
-3.642 4.047 -5.649
0.729 -7.493 -2.207
-4.202 0.381 6.615
Fe Sb Ca
4 12 1
Direct
0.000 0.500 0.000
0.000 0.000 0.500
0.500 0.500 0.500
0.500 0.000 0.000
0.666 0.828 0.163
0.163 0.666 0.828
0.334 0.172 0.837
0.163 0.334 0.497
0.837 0.334 0.172
0.828 0.163 0.666
0.497 0.163 0.334
0.172 0.837 0.334
0.503 0.837 0.666
0.666 0.503 0.837
0.837 0.666 0.503
0.334 0.497 0.163
0.000 0.000 0.000
```

Results
E = -96.3 eV per cell
energy relative to the elements, uncorrected = -0.2118 eV per atom

***

CaFeSb2: relaxed, GGA-PBEsol.

POSCAR file:
```
CaFeSb2
1.0
-0.106 -1.504 -3.754
3.065 -3.631 1.369
-3.921 -2.839 1.247
Ca Fe Sb
1 1 2
Direct
0.500 0.000 0.470
0.000 0.500 0.784
0.000 0.000 0.950
0.000 0.500 0.296
```

Results
E = -20.4 eV per cell
energy relative to the elements, uncorrected = -0.0563 eV per atom

***

CaFeSb2: relaxed, GGA-PBEsol.

POSCAR file:
```
CaFeSb2
1.0
4.201 0.000 0.000
0.000 4.201 0.000
-2.101 -2.101 4.967
Sb Ca Fe
2 1 1
Direct
0.750 0.250 0.500
0.000 0.000 0.000
0.500 0.500 0.000
0.250 0.750 0.500
```

Results
E = -20.2 eV per cell
energy relative to the elements, uncorrected = -0.0012 eV per atom

***

Ca2ScFe: relaxed, GGA-PBEsol.

POSCAR file:
```
Ca2ScFe
1.0
5.214 0.000 0.000
2.607 4.515 0.000
2.607 1.505 4.257
Ca Fe Sc
2 1 1
Direct
0.750 0.750 0.750
0.250 0.250 0.250
0.000 0.000 0.000
0.500 0.500 0.500
```

Results
energy of formation from the pure elements = 0.6541 eV per atom
distance to the lowest polymorph of the same formula = 450 meV/atom
E = -17.2 eV per cell

***

Ca4ScFe: relaxed, GGA-PBEsol.

POSCAR file:
```
Ca4ScFe
1.0
-2.550 -5.947 -0.214
0.311 -3.461 -5.463
3.877 -5.174 -0.338
Ca Sc Fe
4 1 1
Direct
0.375 0.375 0.874
0.874 0.375 0.375
0.375 0.874 0.375
0.375 0.375 0.375
0.000 0.000 0.000
0.750 0.750 0.750
```

Results
energy of formation from the pure elements = 0.9155 eV per atom
E = -18.6 eV per cell

***

Ca2ScFe: relaxed, GGA-PBEsol.

POSCAR file:
```
Ca2ScFe
1.0
3.384 0.000 0.000
-1.692 4.192 0.030
0.000 -2.312 7.788
Ca Sc Fe
2 1 1
Direct
0.001 0.002 0.078
0.160 0.319 0.672
0.805 0.610 0.375
0.534 0.068 0.374
```

Results
energy of formation from the pure elements = 0.3348 eV per atom
distance to the lowest polymorph of the same formula = 130 meV/atom
E = -18.5 eV per cell

***

Ca2ScFe: relaxed, GGA-PBEsol.

POSCAR file:
```
Ca2ScFe
1.0
3.435 0.092 0.000
-0.094 3.434 0.000
0.000 0.000 8.606
Ca Sc Fe
2 1 1
Direct
0.000 0.000 0.040
0.500 0.500 0.682
0.500 0.500 0.328
0.000 0.000 0.449
```

Results
energy of formation from the pure elements = 0.2043 eV per atom
distance to the lowest polymorph of the same formula = 0 meV/atom
E = -19.0 eV per cell

***

Ca2ScFe: relaxed, GGA-PBEsol.

POSCAR file:
```
Ca2ScFe
1.0
-0.352 -4.713 -0.376
4.527 2.209 -2.032
3.910 -0.502 2.634
Ca Fe Sc
2 1 1
Direct
0.250 0.500 0.250
0.000 0.000 0.000
0.500 0.000 0.500
0.750 0.500 0.750
```

Results
energy of formation from the pure elements = 0.5482 eV per atom
distance to the lowest polymorph of the same formula = 344 meV/atom
E = -17.6 eV per cell

***

CaSc3Fe: relaxed, GGA-PBEsol.

POSCAR file:
```
CaSc3Fe
1.0
4.905 0.000 0.000
0.000 4.905 0.000
0.000 0.000 4.905
Sc Fe Ca
3 1 1
Direct
0.500 0.000 0.000
0.000 0.000 0.500
0.000 0.500 0.000
0.000 0.000 0.000
0.500 0.500 0.500
```

Results
energy of formation from the pure elements = 0.0117 eV per atom
E = -30.9 eV per cell

***

CaScTaFe2: relaxed, GGA-PBEsol.

POSCAR file:
```
CaScTaFe2
1.0
-0.978 -4.267 -0.664
1.115 0.408 -4.265
4.524 -1.203 1.068
Ta Fe Ca Sc
1 2 1 1
Direct
0.000 0.000 0.500
0.000 0.500 0.000
0.500 0.000 0.000
0.000 0.000 0.000
0.500 0.500 0.500
```

Results
energy of formation from the pure elements = 1.8597 eV per atom
E = -29.9 eV per cell

***

CaFeSe2: relaxed, GGA-PBEsol.

POSCAR file:
```
CaFeSe2
1.0
3.778 0.000 0.000
1.889 3.272 0.000
1.889 1.091 5.904
Fe Ca Se
1 1 2
Direct
0.000 0.000 0.000
0.500 0.500 0.500
0.729 0.729 0.813
0.271 0.271 0.187
```

Results
distance to the lowest polymorph of the same formula = 0 meV/atom
E = -22.2 eV per cell
energy relative to the elements, uncorrected = -0.8546 eV per atom

***

CaFeSe2: relaxed, GGA-PBEsol.

POSCAR file:
```
CaFeSe2
1.0
4.280 0.000 0.000
2.140 3.706 0.000
2.140 1.235 7.543
Fe Ca Se
1 1 2
Direct
0.000 0.000 0.000
0.500 0.500 0.500
0.901 0.901 0.298
0.099 0.099 0.702
```

Results
distance to the lowest polymorph of the same formula = 356 meV/atom
E = -20.8 eV per cell
energy relative to the elements, uncorrected = -0.4989 eV per atom

***

CaFeSe2: relaxed, GGA-PBEsol.

POSCAR file:
```
CaFeSe2
1.0
3.904 0.000 0.000
0.000 3.904 0.000
0.000 0.000 5.656
Se Fe Ca
2 1 1
Direct
0.500 0.500 0.394
0.000 0.000 0.883
0.500 0.500 0.841
0.000 0.000 0.383
```

Results
distance to the lowest polymorph of the same formula = 99 meV/atom
E = -21.8 eV per cell
energy relative to the elements, uncorrected = -0.7558 eV per atom